1.
Here is a relaxed TbCeTc crystal from the Alexandria database. Energies are from PBE.

Values from the calculation:
VASP energy ... -7.019 eV/atom
Distance to the lowest polymorph of the same formula ... 33 meV per atom
Total magnetic moment ... 0.0 μB per formula unit
DFT formation energy ... -43 meV/atom

Cell lengths 3.416, 3.416, 12.920 Å; angles 90.00, 90.00, 90.00 degrees
Space group I4mm (No. 107)
Unique sites:
Tb 0.000 0.000 0.000 x2
Ce 0.000 0.000 0.260 x2
Tc 0.000 0.000 0.640 x2

=====

2.
Here is a relaxed Ba3In crystal from the Alexandria database. Energies are from PBE.

Values from the calculation:
VASP energy ... -2.246 eV/atom
Total magnetic moment ... 0.6 μB per formula unit
DFT formation energy ... -120 meV/atom

Cell lengths 5.763, 5.763, 10.887 Å; angles 90.00, 90.00, 90.00 degrees
Space group I4/mmm (No. 139)
Unique sites:
Ba 0.000 0.000 0.000 x2
Ba 0.000 0.500 0.250 x4
In 0.000 0.000 0.500 x2

=====

3.
Here is a relaxed CsKBe2Cd crystal from the Alexandria database. Energies are from PBE.

Values from the calculation:
VASP energy ... -0.638 eV/atom
Total magnetic moment ... 0.0 μB per formula unit
DFT formation energy ... 1426 meV/atom

Cell lengths 6.060, 6.060, 7.265 Å; angles 90.00, 90.00, 90.00 degrees
Space group P4/mmm (No. 123)
Unique sites:
Cs 0.000 0.000 0.000 x1
K 0.000 0.000 0.500 x1
Be 0.000 0.500 0.500 x2
Cd 0.500 0.500 0.000 x1

=====

4.
Here is a relaxed Sm2GaOsC crystal from the Alexandria database. Energies are from PBE.

Values from the calculation:
VASP energy ... -6.848 eV/atom
Total magnetic moment ... 0.0 μB per formula unit
DFT formation energy ... -265 meV/atom

Cell lengths 6.395, 4.219, 8.579 Å; angles 90.00, 110.11, 90.00 degrees
Space group P2_1/m (No. 11)
Unique sites:
Sm 0.224 0.250 0.472 x2
Sm 0.227 0.250 0.880 x2
Ga 0.291 0.750 0.198 x2
Os 0.498 0.750 0.756 x2
C 0.187 0.750 0.668 x2

=====

5.
Here is a relaxed SnSNF2 crystal from the Alexandria database. Energies are from PBE.

Values from the calculation:
VASP energy ... -4.244 eV/atom
Distance to the lowest polymorph of the same formula ... 51 meV per atom
Total magnetic moment ... 0.6 μB per formula unit
E_form (uncorrected) ... -204.7 meV/atom

Cell lengths 4.121, 4.121, 4.219 Å; angles 90.00, 90.00, 90.00 degrees
Space group P4/mmm (No. 123)
Unique sites:
Sn 0.000 0.000 0.000 x1
S 0.500 0.500 0.500 x1
N 0.000 0.000 0.500 x1
F 0.000 0.500 0.000 x2

=====

6.
Here is a relaxed AuS3Cl crystal from the Alexandria database. Energies are from PBE.

Values from the calculation:
VASP energy ... -2.529 eV/atom
Distance to the lowest polymorph of the same formula ... 803 meV per atom
Total magnetic moment ... 3.9 μB per formula unit
E_form (uncorrected) ... 972.0 meV/atom

Cell lengths 4.929, 4.929, 4.929 Å; angles 90.00, 90.00, 90.00 degrees
Space group Pm-3m (No. 221)
Unique sites:
Au 0.000 0.000 0.000 x1
S 0.000 0.000 0.500 x3
Cl 0.500 0.500 0.500 x1

=====

7.
Here is a relaxed SbW2Br crystal from the Alexandria database. Energies are from PBE.

Values from the calculation:
VASP energy ... -6.986 eV/atom
Distance to the lowest polymorph of the same formula ... 739 meV per atom
Total magnetic moment ... 0.0 μB per formula unit
E_form (uncorrected) ... 939.4 meV/atom

Cell lengths 3.1195, 3.1195, 26.1921 Å; angles 90.00, 90.00, 120.00 degrees
Space group R-3m (No. 166, hexagonal axes)
Unique sites:
Sb 0.0000 0.0000 0.0000 x3
W 0.0000 0.0000 0.2511 x6
Br 0.0000 0.0000 0.5000 x3

=====

8.
Here is a relaxed Pr2Nd2Tm2In crystal from the Alexandria database. Energies are from PBE.

Values from the calculation:
VASP energy ... -4.435 eV/atom
Total magnetic moment ... 0.0 μB per formula unit
DFT formation energy ... -38 meV/atom

Cell lengths 12.396, 3.718, 11.556 Å; angles 90.00, 118.41, 90.00 degrees
Space group C2/m (No. 12)
Unique sites:
Pr 0.184 0.000 0.093 x4
Nd 0.016 0.000 0.741 x4
Tm 0.235 0.000 0.614 x4
In 0.000 0.500 0.500 x2

=====

9.
Here is a relaxed Dy3Er4S8 crystal from the Alexandria database. Energies are from PBE.

Values from the calculation:
VASP energy ... -6.379 eV/atom
Total magnetic moment ... 0.0 μB per formula unit
E_form (uncorrected) ... -2040.0 meV/atom

Cell lengths 10.962, 10.964, 7.748 Å; angles 90.00, 134.96, 90.00 degrees
Space group C2/m (No. 12)
Unique sites:
Dy 0.000 0.000 0.000 x2
Dy 0.250 0.250 0.000 x4
Er 0.000 0.500 0.000 x2
Er 0.000 0.500 0.500 x2
Er 0.250 0.250 0.500 x4
S 0.000 0.250 0.500 x4
S 0.000 0.251 0.000 x4
S 0.249 0.500 0.000 x4
S 0.249 0.500 0.498 x4

=====

10.
Here is a relaxed Nd3Y2In crystal from the Alexandria database. Energies are from PBE.

Values from the calculation:
VASP energy ... -4.854 eV/atom
Distance to the lowest polymorph of the same formula ... 298 meV per atom
Total magnetic moment ... 0.0 μB per formula unit
DFT formation energy ... 141 meV/atom

Cell lengths 5.866, 6.519, 10.316 Å; angles 90.00, 90.00, 90.00 degrees
Space group Immm (No. 71)
Unique sites:
Nd 0.000 0.000 0.000 x2
Nd 0.000 0.000 0.349 x4
Y 0.000 0.500 0.311 x4
In 0.000 0.500 0.000 x2

=====

11.
Here is a relaxed InBI2O crystal from the Alexandria database. Energies are from PBE.

Values from the calculation:
VASP energy ... -3.554 eV/atom
Distance to the lowest polymorph of the same formula ... 0 meV per atom
Total magnetic moment ... 0.7 μB per formula unit
E_form (uncorrected) ... -58.7 meV/atom

Cell lengths 6.939, 6.939, 2.883 Å; angles 90.00, 90.00, 90.00 degrees
Space group P4/mmm (No. 123)
Unique sites:
In 0.000 0.000 0.000 x1
B 0.500 0.500 0.500 x1
I 0.000 0.500 0.500 x2
O 0.500 0.500 0.000 x1

=====

12.
Here is a relaxed KRu2Se crystal from the Alexandria database. Energies are from PBE.

Values from the calculation:
VASP energy ... -5.058 eV/atom
Total magnetic moment ... 1.2 μB per formula unit
E_form (uncorrected) ... 725.0 meV/atom

Cell lengths 2.885, 5.646, 10.261 Å; angles 90.00, 90.00, 90.00 degrees
Space group Imm2 (No. 44)
Unique sites:
K 0.000 0.000 0.000 x2
Ru 0.000 0.000 0.517 x2
Ru 0.000 0.500 0.815 x2
Se 0.000 0.500 0.212 x2

=====

13.
Here is a relaxed Cs2LiSiI6 crystal from the Alexandria database. Energies are from PBE.

Values from the calculation:
VASP energy ... -2.714 eV/atom
Total magnetic moment ... 0.0 μB per formula unit
E_form (uncorrected) ... -879.2 meV/atom

Cell lengths 11.715, 11.715, 11.715 Å; angles 90.00, 90.00, 90.00 degrees
Space group Fm-3m (No. 225)
Unique sites:
Cs 0.250 0.250 0.250 x8
Li 0.000 0.000 0.000 x4
Si 0.000 0.000 0.500 x4
I 0.000 0.000 0.259 x24

=====

14.
Here is a relaxed Er2PuZrN4 crystal from the Alexandria database. Energies are from PBE.

Values from the calculation:
VASP energy ... -9.799 eV/atom
Total magnetic moment ... 4.7 μB per formula unit
E_form (uncorrected) ... -1636.0 meV/atom

Cell lengths 5.862, 3.393, 5.874 Å; angles 90.00, 109.41, 90.00 degrees
Space group P2/m (No. 10)
Unique sites:
Er 0.000 0.000 0.000 x1
Er 0.000 0.500 0.500 x1
Pu 0.500 0.000 0.500 x1
Zr 0.500 0.500 0.000 x1
N 0.258 0.500 0.246 x2
N 0.260 0.000 0.759 x2

=====

15.
Here is a relaxed Tl2AgPt crystal from the Alexandria database. Energies are from PBE.

Values from the calculation:
VASP energy ... -3.239 eV/atom
Distance to the lowest polymorph of the same formula ... 103 meV per atom
Total magnetic moment ... 0.0 μB per formula unit
DFT formation energy ... 167 meV/atom

Cell lengths 3.9114, 3.9114, 21.7932 Å; angles 90.00, 90.00, 120.00 degrees
Space group R-3m (No. 166, hexagonal axes)
Unique sites:
Tl 0.0000 0.0000 0.2437 x6
Ag 0.0000 0.0000 0.0000 x3
Pt 0.0000 0.0000 0.5000 x3

=====

16.
Here is a relaxed TbPm2Tl3 crystal from the Alexandria database. Energies are from PBE.

Values from the calculation:
VASP energy ... -3.779 eV/atom
Distance to the lowest polymorph of the same formula ... 139 meV per atom
Total magnetic moment ... 0.0 μB per formula unit
DFT formation energy ... -241 meV/atom

Cell lengths 3.744, 29.142, 6.767 Å; angles 90.00, 90.00, 90.00 degrees
Space group Cmcm (No. 63)
Unique sites:
Tb 0.000 0.168 0.250 x4
Pm 0.000 0.347 0.250 x4
Pm 0.000 0.494 0.750 x4
Tl 0.000 0.077 0.510 x8
Tl 0.000 0.245 0.750 x4

=====

17.
Here is a relaxed MgNbNi2 crystal from the Alexandria database. Energies are from PBE.

Values from the calculation:
VASP energy ... -5.410 eV/atom
Total magnetic moment ... 0.0 μB per formula unit
DFT formation energy ... 397 meV/atom

Cell lengths 6.784, 6.784, 5.503 Å; angles 90.00, 90.00, 90.00 degrees
Space group I-42d (No. 122)
Unique sites:
Mg 0.000 0.000 0.000 x4
Nb 0.000 0.000 0.500 x4
Ni 0.236 0.250 0.625 x8